[1]
Entry from Alexandria: an optimized crystal structure of ErTh2Bi3 (GGA-PBE).

Cell lengths 9.096, 12.872, 27.267 Å; angles 90.00, 90.00, 90.00 degrees
Space group Fddd (No. 70, origin choice 2)
Asymmetric unit:
Er  0.125  0.125  0.041 (multiplicity 16)
Th  0.125  0.125  0.376 (multiplicity 16)
Th  0.125  0.125  0.543 (multiplicity 16)
Bi  0.114  0.375  0.375 (multiplicity 16)
Bi  0.120  0.371  0.210 (multiplicity 32)

Calculated values
Formation enthalpy at 0 K in meV per atom: -635.8
Calculated density in g/cm³: 10.471
DFT total energy in eV/cell: -557.77
Spin magnetization in μB per cell: 0.0

[2]
Entry from Alexandria: an optimized crystal structure of CeSmYTm (GGA-PBE).

Cell lengths 8.021, 8.021, 8.021 Å; angles 90.00, 90.00, 90.00 degrees
Space group F-43m (No. 216)
Asymmetric unit:
Ce  0.000  0.000  0.000 (multiplicity 4)
Sm  0.000  0.000  0.500 (multiplicity 4)
Y  0.250  0.250  0.250 (multiplicity 4)
Tm  0.250  0.250  0.750 (multiplicity 4)

Calculated values
Formation enthalpy at 0 K in meV per atom: 155.8
Calculated density in g/cm³: 7.056
DFT total energy in eV/cell: -83.86
Spin magnetization in μB per cell: 3.1

[3]
Entry from Alexandria: an optimized crystal structure of InCuPb2 (GGA-PBE).

Cell lengths 3.440, 5.401, 11.023 Å; angles 90.00, 90.00, 90.00 degrees
Space group Imm2 (No. 44)
Asymmetric unit:
In  0.000  0.000  0.000 (multiplicity 2)
Cu  0.000  0.500  0.697 (multiplicity 2)
Pb  0.000  0.000  0.409 (multiplicity 2)
Pb  0.000  0.500  0.205 (multiplicity 2)

Calculated values
Formation enthalpy at 0 K in meV per atom: 163.3
Calculated density in g/cm³: 9.611
DFT total energy in eV/cell: -27.20
Spin magnetization in μB per cell: 0.0

[4]
Entry from Alexandria: an optimized crystal structure of BaAg2F4 (GGA-PBE).

Cell lengths 6.793, 6.793, 5.670 Å; angles 90.00, 90.00, 90.00 degrees
Space group I4/m (No. 87)
Asymmetric unit:
Ba  0.000  0.000  0.000 (multiplicity 2)
Ag  0.000  0.500  0.250 (multiplicity 4)
F  0.185  0.285  0.500 (multiplicity 8)

Calculated values
Formation energy without anion corrections in meV per atom: -1990
Calculated density in g/cm³: 5.446
Relative energy among the computed polymorphs in meV/atom: 210.7
DFT total energy in eV/cell: -58.08
Spin magnetization in μB per cell: 0.0

[5]
Entry from Alexandria: an optimized crystal structure of Zr4MnSe (GGA-PBE).

Cell lengths 8.123, 8.123, 8.123 Å; angles 90.00, 90.00, 90.00 degrees
Space group F-43m (No. 216)
Asymmetric unit:
Zr  0.123  0.123  0.123 (multiplicity 16)
Mn  0.250  0.250  0.750 (multiplicity 4)
Se  0.000  0.000  0.500 (multiplicity 4)

Calculated values
Formation energy without anion corrections in meV per atom: 468
Calculated density in g/cm³: 6.181
DFT total energy in eV/cell: -176.16
Spin magnetization in μB per cell: 11.6

[6]
Entry from Alexandria: an optimized crystal structure of LaCeSnAu (GGA-PBE).

Cell lengths 7.691, 7.691, 7.691 Å; angles 90.00, 90.00, 90.00 degrees
Space group F-43m (No. 216)
Asymmetric unit:
La  0.000  0.000  0.000 (multiplicity 4)
Ce  0.000  0.000  0.500 (multiplicity 4)
Sn  0.250  0.250  0.750 (multiplicity 4)
Au  0.250  0.250  0.250 (multiplicity 4)

Calculated values
Formation enthalpy at 0 K in meV per atom: -642.3
Calculated density in g/cm³: 8.684
DFT total energy in eV/cell: -82.84
Spin magnetization in μB per cell: 7.9